First-principles (PBE) data for crystalline MgBeReTe2 at its relaxed geometry, as listed in the Alexandria database.

## Properties
* M_tot: 2.69 Bohr magnetons per cell
* E: -18.18 eV per formula unit
* DOS(E_F): 0.844 states/eV per atom
* formation energy from raw total energies: 1.17 eV/atom

Lattice parameters (Å, degrees): 4.910 4.384 4.910 90.00 90.00 90.00
Fractional coordinates of all 5 atoms:
Re 0.500 0.500 0.500
Mg 0.000 0.500 0.000
Te 0.000 0.000 0.500
Te 0.500 0.000 0.000
Be 0.000 0.000 0.000

***

First-principles (PBE) data for crystalline TbErMgGa at its relaxed geometry, as listed in the Alexandria database.

## Properties
* M_tot: 0.00 Bohr magnetons per cell
* E: -15.16 eV per formula unit
* DOS(E_F): 0.564 states/eV per atom
* energy of formation from the pure elements: -0.34 eV per atom

Lattice parameters (Å, degrees): 5.149 5.149 5.149 60.00 60.00 60.00
Fractional coordinates of all 4 atoms:
Mg 0.750 0.750 0.750
Tb 0.500 0.500 0.500
Ga 0.250 0.250 0.250
Er 0.000 0.000 0.000